w) An optimized crystal structure of Sr3BiW, computed with PBE.

abc: 6.295 6.295 6.295
angles: 90.00 90.00 90.00
Positions (direct):
Sr: 0.000 0.500 0.000
Sr: 0.000 0.000 0.500
Sr: 0.500 0.000 0.000
Bi: 0.000 0.000 0.000
W: 0.500 0.500 0.500

## Properties
Total magnetic moment = 5.8 μB per cell


x) An optimized crystal structure of Sr3BiW, computed with PBE.

abc: 5.758 5.758 5.758
angles: 90.00 90.00 90.00
Positions (direct):
Sr: 0.000 0.500 0.000
Sr: 0.000 0.000 0.500
Sr: 0.500 0.000 0.000
Bi: 0.500 0.500 0.500
W: 0.000 0.000 0.000

## Properties
Total magnetic moment = 0.0 μB per cell


Short version: x) is the most stable of them.


w) An optimized crystal structure of SrY3Bi, computed with PBE.

abc: 5.945 5.945 5.945
angles: 90.00 90.00 90.00
Positions (direct):
Y: 0.000 0.500 0.000
Y: 0.000 0.000 0.500
Y: 0.500 0.000 0.000
Sr: 0.500 0.500 0.500
Bi: 0.000 0.000 0.000

## Properties
Total magnetic moment = 2.0 μB per cell


x) An optimized crystal structure of SrY3Bi, computed with PBE.

abc: 5.666 5.666 5.666
angles: 90.00 90.00 90.00
Positions (direct):
Y: 0.000 0.500 0.000
Y: 0.000 0.000 0.500
Y: 0.500 0.000 0.000
Sr: 0.000 0.000 0.000
Bi: 0.500 0.500 0.500

## Properties
Total magnetic moment = 0.0 μB per cell


Short version: w) is the most stable of them.